Crystalline MgIrOs2 at its relaxed geometry. Source: the Alexandria database, functional PBE.

abc: 2.7328 2.7328 8.0783
angles: 90.00 90.00 90.00
Closest atoms and distances in Å follow each position.
Space group P4/mmm (No. 123)
Asymmetric unit:
1 Mg 0.0000 0.0000 0.0000  4 Mg 2.73, 8 Os 2.88
2 Ir 0.0000 0.0000 0.5000  8 Os 2.71, 4 Ir 2.73
3 Os 0.5000 0.5000 0.2640  4 Ir 2.71, 4 Os 2.73, 4 Mg 2.88

Summary:
For the magnetic moment, the calculation gives 0.00 μB per formula unit. Its total energy is -8.02 eV/atom. Its formation energy is 0.207 eV per atom.